(1)
Density functional theory data (PBE) for a relaxed structure of KOs2O6.

Geometry as CIF:
```
data_KOs2O6
_cell_length_a 7.2299
_cell_length_b 7.2299
_cell_length_c 17.7360
_cell_angle_alpha 90.00
_cell_angle_beta 90.00
_cell_angle_gamma 120.00
_symmetry_space_group_name_H-M 'R 3 m'
_symmetry_Int_Tables_number 160
_symmetry_space_group_name_Hall 'R 3 -2"'
loop_
_atom_site_label
_atom_site_type_symbol
_atom_site_fract_x
_atom_site_fract_y
_atom_site_fract_z
K1 K 0.0000 0.0000 0.0000
K2 K 0.0000 0.0000 0.2520
Os1 Os 0.0000 0.0000 0.5974
Os2 Os 0.0001 0.5000 0.0974
O1 O 0.0821 0.5411 0.4489
O2 O 0.0860 0.5430 0.2000
O3 O 0.2038 0.4077 0.3230
O4 O 0.2050 0.4100 0.0711
```

Results
The volume is 803 Å³/cell. Its formation energy (no corrections) is -1185 meV/atom. As for the size of the total moment: 0.00 μB per cell.

(2)
Density functional theory data (PBE) for a relaxed structure of KOs2O8.

Geometry as CIF:
```
data_KOs2O8
_cell_length_a 4.729
_cell_length_b 4.729
_cell_length_c 6.800
_cell_angle_alpha 90.00
_cell_angle_beta 90.00
_cell_angle_gamma 90.00
_symmetry_space_group_name_H-M 'P 4/m m m'
_symmetry_Int_Tables_number 123
_symmetry_space_group_name_Hall '-P 4 2'
loop_
_atom_site_label
_atom_site_type_symbol
_atom_site_fract_x
_atom_site_fract_y
_atom_site_fract_z
K1 K 0.000 0.000 0.000
Os1 Os 0.000 0.500 0.500
O1 O 0.250 0.250 0.332
```

Results
The volume is 152 Å³/cell. Its formation energy (no corrections) is -461 meV/atom. As for the size of the total moment: 1.32 μB per cell.

(3)
Density functional theory data (PBE) for a relaxed structure of K2OsO4.

Geometry as CIF:
```
data_K2OsO4
_cell_length_a 8.963
_cell_length_b 8.990
_cell_length_c 8.066
_cell_angle_alpha 90.00
_cell_angle_beta 90.00
_cell_angle_gamma 90.00
_symmetry_space_group_name_H-M 'F m m 2'
_symmetry_Int_Tables_number 42
_symmetry_space_group_name_Hall 'F 2 -2'
loop_
_atom_site_label
_atom_site_type_symbol
_atom_site_fract_x
_atom_site_fract_y
_atom_site_fract_z
K1 K 0.250 0.250 0.000
Os1 Os 0.000 0.000 0.251
O1 O 0.000 0.190 0.182
O2 O 0.191 0.000 0.319
```

Results
The volume is 650 Å³/cell. Its formation energy (no corrections) is -1374 meV/atom. As for the size of the total moment: 0.00 μB per cell.

(4)
Density functional theory data (PBE) for a relaxed structure of K3OsO4.

Geometry as CIF:
```
data_K3OsO4
_cell_length_a 9.124
_cell_length_b 6.158
_cell_length_c 5.581
_cell_angle_alpha 90.00
_cell_angle_beta 90.00
_cell_angle_gamma 90.00
_symmetry_space_group_name_H-M 'P m n 21'
_symmetry_Int_Tables_number 31
_symmetry_space_group_name_Hall 'P 2ac -2'
loop_
_atom_site_label
_atom_site_type_symbol
_atom_site_fract_x
_atom_site_fract_y
_atom_site_fract_z
K1 K 0.000 0.189 0.000
K2 K 0.249 0.300 0.473
Os1 Os 0.000 0.781 0.449
O1 O 0.000 0.062 0.537
O2 O 0.000 0.559 0.234
O3 O 0.207 0.756 0.480
```

Results
The volume is 314 Å³/cell. Its formation energy (no corrections) is -1356 meV/atom. As for the size of the total moment: 2.05 μB per cell.